! PmPr4Y10, relaxed, DFT GGA-PBE; values from VASP
! energy of formation = 0.343 eV per atom
&SYSTEM
  ibrav = 0, nat = 15, ntyp = 3
/
ATOMIC_SPECIES
Pm 145.00 Pm.upf
Pr 140.91 Pr.upf
Y 88.91 Y.upf
CELL_PARAMETERS angstrom
-5.016 6.441 -6.920
-8.564 0.153 -1.926
-3.568 7.856 1.623
ATOMIC_POSITIONS crystal
Pm 0.000 0.000 0.000
Pr 0.334 0.733 0.600
Pr 0.934 0.400 0.733
Pr 0.066 0.600 0.267
Pr 0.666 0.267 0.400
Y 0.250 0.500 0.500
Y 0.546 0.323 0.906
Y 0.131 0.094 0.323
Y 0.548 0.906 0.677
Y 0.775 0.677 0.094
Y 0.454 0.677 0.094
Y 0.750 0.500 0.500
Y 0.225 0.323 0.906
Y 0.452 0.094 0.323
Y 0.869 0.906 0.677